A plane-wave DFT calculation with PBE was carried out for TlCd7Ga5 after structural relaxation.

Cell and atoms, written as CIF:
```
data_TlCd7Ga5
_chemical_formula_sum 'Tl2 Cd14 Ga10'
_space_group_name_H-M_alt 'I m m 2'
_space_group_IT_number 44
_cell_length_a 5.610
_cell_length_b 10.172
_cell_length_c 10.283
_cell_angle_alpha 90.00
_cell_angle_beta 90.00
_cell_angle_gamma 90.00
loop_
_space_group_symop_operation_xyz
'x,y,z'
'-x,-y,z'
'-x,y,z'
'x,-y,z'
'x+1/2,y+1/2,z+1/2'
'-x+1/2,-y+1/2,z+1/2'
'-x+1/2,y+1/2,z+1/2'
'x+1/2,-y+1/2,z+1/2'
loop_
_atom_site_label
_atom_site_fract_x
_atom_site_fract_y
_atom_site_fract_z
Tl1 0.000 0.000 0.000
Cd1 0.000 0.000 0.360
Cd2 0.000 0.000 0.655
Cd3 0.000 0.298 0.504
Cd4 0.000 0.348 0.004
Cd5 0.000 0.500 0.725
Ga1 0.000 0.500 0.274
Ga2 0.249 0.254 0.256
```

Computed properties:
VASP energy (eV/atom): -1.79
Formation energy (eV per atom): 0.05
Calculated volume (Å³/f.u.): 293.39